Record 1
First-principles (PBE-GGA) data for a relaxed structure of CaTb5Dy12, as listed in the Alexandria database.

- D(E_F): 46.20 states/eV per cell
- Size of the total moment: 0.0 μB per formula unit
- E_tot: -4.43 eV per atom

Lattice parameters (Å, degrees): 18.4867 10.6886 6.1627 90.00 109.26 90.00
With the nearest neighbours (Å) after each atom.
Space group C2/m (No. 12)
Unique sites:
Ca 0.0000 0.0000 0.0000 (multiplicity 2)  10 Dy 3.59-3.61, 2 Tb 3.63
Tb 0.0000 0.5000 0.5000 (multiplicity 2)  10 Dy 3.51-3.56, 2 Tb 3.56
Tb 0.1669 0.5000 0.9966 (multiplicity 4)  2 Tb 3.52-3.56, 10 Dy 3.52-3.58
Tb 0.1688 0.0000 0.5097 (multiplicity 4)  10 Dy 3.52-3.62, 1 Tb 3.52, 1 Ca 3.63
Dy 0.0000 0.1718 0.5000 (multiplicity 4)  3 Tb 3.51-3.61, 7 Dy 3.53-3.67, 2 Ca 3.59
Dy 0.0000 0.3379 0.0000 (multiplicity 4)  7 Dy 3.47-3.61, 4 Tb 3.54, 1 Ca 3.61
Dy 0.1664 0.3326 0.4988 (multiplicity 8)  7 Dy 3.53-3.58, 5 Tb 3.55-3.58
Dy 0.1691 0.1686 0.0004 (multiplicity 8)  7 Dy 3.46-3.61, 4 Tb 3.52-3.62, 1 Ca 3.61

Record 2
First-principles (PBE-GGA) data for a relaxed structure of K2TlTeO6, as listed in the Alexandria database.

- Raw formation energy: -99 kJ/mol of atoms
- D(E_F): 23.89 states/eV per cell
- Size of the total moment: 1.1 μB per formula unit
- E_tot: -4.77 eV per atom

Lattice parameters (Å, degrees): 5.9768 5.9768 14.4880 90.00 90.00 120.00
With the nearest neighbours (Å) after each atom.
Space group R-3 (No. 148, hexagonal axes)
Unique sites:
K 0.0000 0.0000 0.2502 (multiplicity 6)  9 O 2.75-3.00
Tl 0.0000 0.0000 0.0000 (multiplicity 3)  6 O 2.29
Te 0.0000 0.0000 0.5000 (multiplicity 3)  6 O 1.95
O 0.0282 0.5541 0.2442 (multiplicity 18)  1 Te 1.95

Record 3
First-principles (PBE-GGA) data for a relaxed structure of CoPt3Br, as listed in the Alexandria database.

- Raw formation energy: 141 kJ/mol of atoms
- D(E_F): 1.70 states/eV per cell
- Size of the total moment: 2.0 μB per formula unit
- E_tot: -3.91 eV per atom

Lattice parameters (Å, degrees): 4.7055 4.7055 4.7055 90.00 90.00 90.00
With the nearest neighbours (Å) after each atom.
Space group Pm-3m (No. 221)
Unique sites:
Co 0.0000 0.0000 0.0000 (multiplicity 1)  12 Pt 3.33
Pt 0.0000 0.5000 0.5000 (multiplicity 3)  2 Br 2.35
Br 0.5000 0.5000 0.5000 (multiplicity 1)  6 Pt 2.35

Record 4
First-principles (PBE-GGA) data for a relaxed structure of Mo2IrRu2, as listed in the Alexandria database.

- D(E_F): 8.52 states/eV per cell
- Size of the total moment: 0.0 μB per formula unit
- E_tot: -9.67 eV per atom

Lattice parameters (Å, degrees): 7.2572 7.2572 2.9026 90.00 90.00 90.00
With the nearest neighbours (Å) after each atom.
Space group P4/mbm (No. 127)
Unique sites:
Mo 0.1705 0.3295 0.0000 (multiplicity 4)  6 Ru 2.51-2.64
Ir 0.0000 0.0000 0.5000 (multiplicity 2)  4 Ru 2.84, 2 Ir 2.90, 8 Mo 3.06
Ru 0.1303 0.6303 0.5000 (multiplicity 4)  6 Mo 2.51-2.64, 1 Ru 2.67

Record 5
First-principles (PBE-GGA) data for a relaxed structure of Nd2MgGaAu6, as listed in the Alexandria database.

- D(E_F): 5.04 states/eV per cell
- Size of the total moment: 0.0 μB per formula unit
- E_tot: -3.89 eV per atom

Lattice parameters (Å, degrees): 5.5537 6.7123 6.7860 80.35 69.63 70.63
With the nearest neighbours (Å) after each atom.
Space group P-1 (No. 2)
Unique sites:
Nd 0.0057 0.2693 0.2478 (multiplicity 2)  7 Au 3.11-3.25, 1 Ga 3.39
Mg 0.5000 0.0000 0.5000 (multiplicity 1)  6 Au 2.64-2.76
Ga 0.5000 0.5000 0.0000 (multiplicity 1)  6 Au 2.62-2.90
Au 0.0063 0.2537 0.7240 (multiplicity 2)  1 Mg 2.76, 4 Au 2.82-2.93, 1 Ga 2.90
Au 0.3596 0.9083 0.9107 (multiplicity 2)  1 Ga 2.62, 1 Mg 2.64, 3 Au 2.92-2.93
Au 0.4991 0.3349 0.6725 (multiplicity 2)  1 Ga 2.65, 1 Mg 2.70, 3 Au 2.82-2.94

Record 6
First-principles (PBE-GGA) data for a relaxed structure of LaMgCd2Au4, as listed in the Alexandria database.

- D(E_F): 7.71 states/eV per cell
- Size of the total moment: 0.0 μB per formula unit
- E_tot: -3.20 eV per atom

Lattice parameters (Å, degrees): 4.8390 4.8390 25.3662 90.00 90.00 120.00
With the nearest neighbours (Å) after each atom.
Space group R-3m (No. 166, hexagonal axes)
Unique sites:
La 0.0000 0.0000 0.0000 (multiplicity 3)  8 Au 3.16-3.30
Mg 0.0000 0.0000 0.5000 (multiplicity 3)  8 Au 2.76-2.94
Cd 0.0000 0.0000 0.2462 (multiplicity 6)  7 Au 2.89-3.00
Au 0.0000 0.0000 0.1300 (multiplicity 6)  3 Mg 2.94, 4 Cd 2.95-3.00, 1 La 3.30
Au 0.0000 0.0000 0.3912 (multiplicity 6)  1 Mg 2.76, 3 Cd 2.89